Below is a geometry-optimized AlSiNi2 structure, with properties calculated at the GGA-PBE level.

Lattice parameters (Å, degrees): 3.8990 3.8990 7.5630 90.00 90.00 120.00
Space group P-3m1 (No. 164)
Unique sites:
1 Al 0.3333 0.6667 0.4050 x2
2 Si 0.0000 0.0000 0.1739 x2
3 Ni 0.3333 0.6667 0.0837 x2
4 Ni 0.3333 0.6667 0.7322 x2

Properties
Total magnetization: 0.00 μB/atom
Raw formation energy: -203 kJ/mol of formula units
VASP energy: -45.67 eV/cell
N(E_F): 1.1 states/eV/f.u.